Material: LaY3Ga4
Method: DFT, GGA-PBE
State: relaxed

Results
Its energy of formation from the pure elements is -0.59 eV/atom. Its crystal system is orthorhombic. As for the density of states at the Fermi level: 7.261 states/eV/cell.

Unit cell a=10.2817 b=7.2506 c=5.1408 alpha=90.00 beta=90.00 gamma=90.00
Space group Pmma (No. 51)
Asymmetric unit:
La  0.0000  0.0000  0.0000 x2
Y  0.0000  0.5000  0.0000 x2
Y  0.2500  0.0000  0.4993 x2
Y  0.2500  0.5000  0.4994 x2
Ga  0.0000  0.2619  0.5000 x4
Ga  0.2500  0.2619  0.9990 x4

Material: AgBiSe2N
Method: DFT, GGA-PBE
State: relaxed

Results
Its crystal system is tetragonal. The value obtained for the energy above the most stable polymorph in this dataset is 0 meV per atom. The energy relative to the elements, uncorrected is 839 meV per atom. As for the density of states at the Fermi level: 1.732 states/eV/cell.

Unit cell a=5.2700 b=5.2700 c=4.0223 alpha=90.00 beta=90.00 gamma=90.00
Space group P4/mmm (No. 123)
Asymmetric unit:
Ag  0.0000  0.0000  0.0000 x1
Bi  0.5000  0.5000  0.5000 x1
Se  0.0000  0.5000  0.0000 x2
N  0.0000  0.0000  0.5000 x1

Material: Cu2HgW
Method: DFT, GGA-PBE
State: relaxed

Results
Its energy of formation from the pure elements is 0.48 eV/atom. Its crystal system is monoclinic. As for the density of states at the Fermi level: 3.106 states/eV/cell.

Unit cell a=2.7682 b=3.7690 c=5.9355 alpha=90.00 beta=90.12 gamma=90.00
Space group P2/m (No. 10)
Asymmetric unit:
Cu  0.0023  0.0000  0.2209 x2
Hg  0.5000  0.5000  0.5000 x1
W  0.5000  0.5000  0.0000 x1

Material: YOs2C
Method: DFT, GGA-PBE
State: relaxed

Results
Its energy of formation from the pure elements is 0.52 eV/atom. Its crystal system is tetragonal. As for the density of states at the Fermi level: 6.192 states/eV/cell.

Unit cell a=4.8386 b=4.8386 c=13.2708 alpha=90.00 beta=90.00 gamma=90.00
Space group I-42d (No. 122)
Asymmetric unit:
Y  0.0000  0.0000  0.0000 x4
Os  0.0084  0.2500  0.6250 x8
C  0.0000  0.0000  0.5000 x4

Material: RbZnGa3
Method: DFT, GGA-PBE
State: relaxed

Results
Its energy of formation from the pure elements is 0.21 eV/atom. Its crystal system is cubic. The value obtained for the energy above the most stable polymorph in this dataset is 0 meV per atom. As for the density of states at the Fermi level: 3.405 states/eV/cell.

Unit cell a=5.1538 b=5.1538 c=5.1538 alpha=90.00 beta=90.00 gamma=90.00
Space group Pm-3m (No. 221)
Asymmetric unit:
Rb  0.0000  0.0000  0.0000 x1
Zn  0.5000  0.5000  0.5000 x1
Ga  0.0000  0.5000  0.5000 x3

Material: CaPm4Al2
Method: DFT, GGA-PBE
State: relaxed

Results
Its energy of formation from the pure elements is -0.10 eV/atom. Its crystal system is monoclinic. As for the density of states at the Fermi level: 10.603 states/eV/cell.

Unit cell a=5.3959 b=11.4135 c=6.6317 alpha=90.00 beta=90.09 gamma=90.00
Space group P2_1/c (No. 14)
Asymmetric unit:
Ca  0.0000  0.0000  0.0000 x2
Pm  0.9998  0.1373  0.4998 x4
Pm  0.4997  0.2126  0.0010 x4
Al  0.4997  0.9997  0.3056 x4